A plane-wave DFT calculation with GGA-PBE was carried out for a geometry-optimized SmHoTh2Se4 structure.

abc: 4.111 7.033 7.434
angles: 108.79 90.00 90.00
Element x y z (fractional)
1 Th 0.500 0.000 0.500
2 Th 0.000 0.500 0.500
3 Ho 0.500 0.500 0.000
4 Se 0.000 0.741 0.236
5 Se 0.000 0.259 0.764
6 Se 0.500 0.252 0.239
7 Se 0.500 0.748 0.761
8 Sm 0.000 0.000 0.000

* formation energy from raw total energies: -1.6422 eV/atom
* volume: 25.44 A^3/atom
* crystal system: monoclinic
* space-group type: P2/m (10)